Here is a geometry-optimized HgPS2Cl structure from the Alexandria database. Energies are from GGA-PBE.

Structure (extended XYZ):
```
5
Lattice="5.051 0.000 0.000 0.000 5.051 0.000 0.000 0.000 5.052" Properties=species:S:1:pos:R:3 pbc="T T T"
Hg 0.000 0.000 0.000
P 2.526 2.526 2.526
S 0.000 2.526 0.000
S 2.526 0.000 0.000
Cl 0.000 0.000 2.526
```

Properties
Energy relative to the elements, uncorrected in meV/atom: 1055
Energy above the lowest structure with this stoichiometry in meV/atom: 777